# Ac2Al3AgHg4, relaxed, DFT PBE
data_Ac2Al3AgHg4
_chemical_formula_sum 'Ac2 Al3 Ag1 Hg4'
_cell_length_a 4.707
_cell_length_b 4.707
_cell_length_c 11.115
_cell_angle_alpha 90.00
_cell_angle_beta 90.00
_cell_angle_gamma 90.00
_space_group_name_H-M_alt 'P -4 m 2'
_space_group_IT_number 115
loop_
_space_group_symop_operation_xyz
'x,y,z'
'y,-x,-z'
'-x,-y,z'
'-y,x,-z'
'-x,y,z'
'-y,-x,-z'
'x,-y,z'
'y,x,-z'
loop_
_atom_site_label
_atom_site_fract_x
_atom_site_fract_y
_atom_site_fract_z
Ac1 0.000 0.500 0.249
Al1 0.000 0.500 0.871
Al2 0.500 0.500 0.500
Ag1 0.000 0.000 0.500
Hg1 0.000 0.000 0.000
Hg2 0.000 0.500 0.635
Hg3 0.500 0.500 0.000
# - Formation energy from the elements: -326 meV per atom



# AcAl2AgHg, relaxed, DFT PBE
data_AcAl2AgHg
_chemical_formula_sum 'Ac2 Al4 Ag2 Hg2'
_cell_length_a 4.669
_cell_length_b 4.669
_cell_length_c 10.812
_cell_angle_alpha 90.00
_cell_angle_beta 90.00
_cell_angle_gamma 90.00
_space_group_name_H-M_alt 'I -4 m 2'
_space_group_IT_number 119
_space_group_name_Hall 'I -4 -2'
loop_
_atom_site_label
_atom_site_fract_x
_atom_site_fract_y
_atom_site_fract_z
Ac1 0.000 0.000 0.000
Al1 0.000 0.000 0.380
Ag1 0.000 0.500 0.750
Hg1 0.000 0.500 0.250
# - Formation energy from the elements: -355 meV per atom



# AcAlAgHg, relaxed, DFT PBE
data_AcAlAgHg
_chemical_formula_sum 'Ac4 Al4 Ag4 Hg4'
_cell_length_a 7.418
_cell_length_b 7.418
_cell_length_c 7.418
_cell_angle_alpha 90.00
_cell_angle_beta 90.00
_cell_angle_gamma 90.00
_space_group_name_H-M_alt 'F -4 3 m'
_space_group_IT_number 216
_space_group_name_Hall 'F -4 2 3'
loop_
_atom_site_label
_atom_site_fract_x
_atom_site_fract_y
_atom_site_fract_z
Ac1 0.000 0.000 0.000
Al1 0.000 0.000 0.500
Ag1 0.250 0.250 0.250
Hg1 0.250 0.250 0.750
# - Formation energy from the elements: -247 meV per atom